1.
Below is Ba2CaIn2 after structural relaxation, with properties calculated at the PBE level.

Cell: 9.5285 9.5285 4.5389 Å, 90.00 90.00 90.00°
Fractional positions:
Ca 0.0000 0.0000 0.0000
Ca 0.5000 0.5000 0.0000
Ba 0.1700 0.6700 0.5000
Ba 0.6700 0.8300 0.5000
Ba 0.8300 0.3300 0.5000
Ba 0.3300 0.1700 0.5000
In 0.3748 0.8748 0.0000
In 0.8748 0.6252 0.0000
In 0.6252 0.1252 0.0000
In 0.1252 0.3748 0.0000

Summary:
The density of states at the Fermi level comes out at 1.15 states/eV per atom. The symmetry is P4/mbm. The value obtained for the total energy is -2.57 eV/atom. The value obtained for the offset from the most stable computed form is 0.048 eV per atom.

2.
Below is BaCaIn2 after structural relaxation, with properties calculated at the PBE level.

Cell: 3.9428 3.9428 9.3104 Å, 90.00 90.00 90.06°
Fractional positions:
Ca 0.5000 0.5000 0.8159
Ba 0.0000 0.0000 0.4579
In 0.0000 0.0000 0.0262
In 0.5000 0.5000 0.2000

Summary:
The density of states at the Fermi level comes out at 1.05 states/eV per atom. The symmetry is P4mm. The value obtained for the total energy is -2.57 eV/atom.

3.
Below is BaCa5In2 after structural relaxation, with properties calculated at the PBE level.

Cell: 5.3365 8.2651 8.2651 Å, 73.15 71.17 71.17°
Fractional positions:
Ba 0.0000 0.0000 0.0000
Ca 0.0000 0.5000 0.5000
Ca 0.6673 0.5135 0.1518
Ca 0.3327 0.4865 0.8482
Ca 0.3327 0.8482 0.4865
Ca 0.6673 0.1518 0.5135
In 0.7347 0.7653 0.7653
In 0.2653 0.2347 0.2347

Summary:
The density of states at the Fermi level comes out at 1.02 states/eV per atom. The symmetry is Immm. The value obtained for the total energy is -2.40 eV/atom.

4.
Below is BaCaIn2 after structural relaxation, with properties calculated at the PBE level.

Cell: 5.7420 5.7420 5.7420 Å, 60.00 60.00 60.00°
Fractional positions:
Ca 0.7500 0.7500 0.7500
Ba 0.5000 0.5000 0.5000
In 0.0000 0.0000 0.0000
In 0.2500 0.2500 0.2500

Summary:
The density of states at the Fermi level comes out at 0.90 states/eV per atom. The symmetry is F-43m. The value obtained for the total energy is -2.53 eV/atom.

5.
Below is Ba3CaIn4 after structural relaxation, with properties calculated at the PBE level.

Cell: 4.1538 4.1538 16.8915 Å, 90.00 90.00 90.00°
Fractional positions:
Ca 0.5000 0.5000 0.0000
Ba 0.5000 0.5000 0.2385
Ba 0.5000 0.5000 0.5000
Ba 0.5000 0.5000 0.7615
In 0.0000 0.0000 0.9009
In 0.0000 0.0000 0.0991
In 0.0000 0.0000 0.3745
In 0.0000 0.0000 0.6255

Summary:
The density of states at the Fermi level comes out at 0.56 states/eV per atom. The symmetry is P4/mmm. The value obtained for the total energy is -2.75 eV/atom.

6.
Below is BaCaIn2 after structural relaxation, with properties calculated at the PBE level.

Cell: 7.7341 7.7341 7.7341 Å, 57.17 152.57 130.89°
Each line ends with the local moment (μB).
Fractional positions:
Ba 0.0000 0.5000 0.5000  -0.16
Ca 0.0000 0.0000 0.0000  -0.07
In 0.0000 0.2396 0.2396  -0.01
In 0.0000 0.7604 0.7604  -0.01

Summary:
The density of states at the Fermi level comes out at 1.15 states/eV per atom. The symmetry is Immm. The value obtained for the total energy is -2.10 eV/atom.

7.
Below is Ba2CaIn after structural relaxation, with properties calculated at the PBE level.

Cell: 6.0965 6.0966 4.6627 Å, 90.00 90.00 90.00°
Fractional positions:
Ca 0.5000 0.0000 0.5000
Ba 0.0000 0.0000 0.0000
Ba 0.5000 0.5000 0.0000
In 0.0000 0.5000 0.5000

Summary:
The density of states at the Fermi level comes out at 0.75 states/eV per atom. The symmetry is P4/mmm. The value obtained for the total energy is -2.32 eV/atom. The value obtained for the offset from the most stable computed form is 0.074 eV per atom.

8.
Below is Ba3Ca2In3 after structural relaxation, with properties calculated at the PBE level.

Cell: 4.2638 6.1496 12.6748 Å, 104.04 99.68 90.00°
Fractional positions:
Ba 0.3805 0.3805 0.7609
Ba 0.6195 0.6195 0.2391
Ba 0.5000 0.0000 0.0000
Ca 0.2674 0.7674 0.5348
Ca 0.7326 0.2326 0.4652
In 0.8693 0.8693 0.7386
In 0.0000 0.5000 0.0000
In 0.1307 0.1307 0.2614

Summary:
The density of states at the Fermi level comes out at 0.93 states/eV per atom. The symmetry is Immm. The value obtained for the total energy is -2.55 eV/atom.